# 1
The following is a GGA-PBEsol calculation of a relaxed SrMnGe2O6 crystal, from Alexandria via LeMat-Bulk.

Results
Its calculated volume is 258.1 Å³/cell. Its crystal system is monoclinic. The total magnetic moment comes out at 10.0 μB/cell. The calculation puts the uncorrected formation energy at -19.48 eV per formula unit. As for the symmetry: C2/c.

Cell lengths 5.508, 6.984, 6.984 Å; angles 83.90, 78.97, 78.97 degrees
Last column: magnetic moment on the atom in μB.
Atoms (fractional coordinates):
O: 0.020 0.878 0.833  0.01
O: 0.520 0.833 0.878  0.01
O: 0.817 0.400 0.884  0.04
O: 0.480 0.167 0.122  0.01
O: 0.183 0.600 0.116  0.04
O: 0.135 0.305 0.478  0.05
O: 0.635 0.478 0.305  0.05
O: 0.865 0.695 0.522  0.05
O: 0.365 0.522 0.695  0.05
O: 0.683 0.116 0.600  0.04
O: 0.317 0.884 0.400  0.04
O: 0.980 0.122 0.167  0.01
Ge: 0.715 0.315 0.122  0.03
Ge: 0.285 0.685 0.878  0.03
Ge: 0.215 0.122 0.315  0.03
Ge: 0.785 0.878 0.685  0.03
Sr: 0.250 0.191 0.809  0.00
Sr: 0.750 0.809 0.191  0.00
Mn: 0.750 0.406 0.594  4.43
Mn: 0.250 0.594 0.406  4.43


# 2
The following is a GGA-PBEsol calculation of a relaxed KTaAg crystal, from Alexandria via LeMat-Bulk.

Results
Its calculated volume is 66.7 Å³/cell. Its crystal system is tetragonal. The total magnetic moment comes out at 0.0 μB/cell. The calculation puts the formation energy at 0.83 eV per atom. As for the symmetry: I4mm. The calculation puts the relative energy among the computed polymorphs at 0.0000 eV/atom.

Cell lengths 2.904, 2.904, 8.171 Å; angles 100.23, 100.23, 90.00 degrees
Atoms (fractional coordinates):
Ag: 0.984 0.984 0.967
K: 0.658 0.658 0.315
Ta: 0.359 0.359 0.717


# 3
The following is a GGA-PBEsol calculation of a relaxed Sr2MgZrCo crystal, from Alexandria via LeMat-Bulk.

Results
Its calculated volume is 183.7 Å³/cell. Its crystal system is tetragonal. The total magnetic moment comes out at 3.6 μB/cell. The calculation puts the formation energy at 1.59 eV per atom. As for the symmetry: P4/mmm.

Cell lengths 5.388, 5.840, 5.840 Å; angles 90.00, 90.00, 90.00 degrees
Last column: magnetic moment on the atom in μB.
Atoms (fractional coordinates):
Zr: 0.000 0.000 0.000  0.87
Mg: 0.500 0.000 0.000  0.02
Co: 0.500 0.500 0.500  2.09
Sr: 0.000 0.500 0.000  0.07
Sr: 0.000 0.000 0.500  0.07


# 4
The following is a GGA-PBEsol calculation of a relaxed CsNiAsOs2 crystal, from Alexandria via LeMat-Bulk.

Results
Its calculated volume is 101.6 Å³/cell. Its crystal system is tetragonal. The total magnetic moment comes out at 2.1 μB/cell. The calculation puts the formation energy at 1.57 eV per atom. As for the symmetry: P4/mmm.

Cell lengths 4.688, 4.688, 4.622 Å; angles 90.00, 90.00, 90.00 degrees
Last column: magnetic moment on the atom in μB.
Atoms (fractional coordinates):
Cs: 0.500 0.500 0.500  0.06
Os: 0.000 0.500 0.000  0.79
Os: 0.500 0.000 0.000  0.79
As: 0.000 0.000 0.000  -0.02
Ni: 0.000 0.000 0.500  0.35


# 5
The following is a GGA-PBEsol calculation of a relaxed ScPRu2 crystal, from Alexandria via LeMat-Bulk.

Results
Its calculated volume is 61.6 Å³/cell. Its crystal system is trigonal. The total magnetic moment comes out at 0.0 μB/cell. The calculation puts the formation energy at -0.11 eV per atom. As for the symmetry: R3m.

Cell lengths 3.059, 3.059, 7.807 Å; angles 78.70, 78.70, 60.00 degrees
Atoms (fractional coordinates):
P: 0.260 0.260 0.220
Ru: 0.751 0.751 0.747
Ru: 0.989 0.989 0.034
Sc: 0.500 0.500 0.500


# 6
The following is a GGA-PBEsol calculation of a relaxed NdMgB5O10 crystal, from Alexandria via LeMat-Bulk.

Results
Its calculated volume is 621.6 Å³/cell. Its crystal system is monoclinic. The total magnetic moment comes out at 0.0 μB/cell. The calculation puts the uncorrected formation energy at -46.56 eV per formula unit. As for the symmetry: P2_1/c.

Cell lengths 7.609, 8.679, 9.424 Å; angles 87.14, 90.00, 90.00 degrees
Atoms (fractional coordinates):
O: 0.629 0.812 0.509
O: 0.524 0.587 0.647
O: 0.104 0.172 0.913
O: 0.276 0.960 0.013
O: 0.476 0.413 0.353
O: 0.604 0.328 0.587
O: 0.964 0.683 0.637
O: 0.650 0.499 0.072
O: 0.129 0.688 0.991
O: 0.724 0.040 0.987
O: 0.150 0.001 0.428
O: 0.541 0.233 0.886
O: 0.350 0.501 0.928
O: 0.024 0.913 0.853
O: 0.282 0.030 0.761
O: 0.917 0.492 0.189
O: 0.536 0.183 0.137
O: 0.036 0.317 0.363
O: 0.396 0.672 0.413
O: 0.871 0.312 0.009
O: 0.959 0.733 0.386
O: 0.782 0.470 0.739
O: 0.464 0.817 0.863
O: 0.153 0.317 0.127
O: 0.653 0.183 0.373
O: 0.041 0.267 0.614
O: 0.347 0.817 0.627
O: 0.847 0.683 0.873
O: 0.459 0.767 0.114
O: 0.371 0.188 0.491
O: 0.083 0.508 0.811
O: 0.976 0.087 0.147
O: 0.896 0.828 0.087
O: 0.850 0.999 0.572
O: 0.718 0.970 0.239
O: 0.776 0.540 0.487
O: 0.583 0.992 0.689
O: 0.218 0.530 0.261
O: 0.224 0.460 0.513
O: 0.417 0.008 0.311
B: 0.171 0.016 0.891
B: 0.404 0.847 0.996
B: 0.081 0.415 0.234
B: 0.032 0.220 0.052
B: 0.329 0.516 0.391
B: 0.968 0.780 0.948
B: 0.312 0.069 0.414
B: 0.596 0.153 0.004
B: 0.688 0.931 0.586
B: 0.904 0.653 0.504
B: 0.829 0.984 0.109
B: 0.919 0.585 0.766
B: 0.812 0.431 0.086
B: 0.581 0.085 0.266
B: 0.671 0.484 0.609
B: 0.096 0.347 0.496
B: 0.188 0.569 0.914
B: 0.532 0.280 0.448
B: 0.468 0.720 0.552
B: 0.419 0.915 0.734
Nd: 0.812 0.184 0.765
Nd: 0.188 0.816 0.235
Nd: 0.312 0.316 0.735
Nd: 0.688 0.684 0.265
Mg: 0.589 0.606 0.876
Mg: 0.411 0.394 0.124
Mg: 0.911 0.106 0.376
Mg: 0.089 0.894 0.624


# 7
The following is a GGA-PBEsol calculation of a relaxed YCo2Mo crystal, from Alexandria via LeMat-Bulk.

Results
Its calculated volume is 60.9 Å³/cell. Its crystal system is orthorhombic. The total magnetic moment comes out at 0.0 μB/cell. The calculation puts the formation energy at 0.25 eV per atom. As for the symmetry: Immm.

Cell lengths 4.049, 4.461, 4.461 Å; angles 63.37, 63.01, 63.01 degrees
Atoms (fractional coordinates):
Mo: 0.500 0.000 0.000
Co: 0.787 0.213 0.213
Co: 0.213 0.787 0.787
Y: 0.000 0.500 0.500


# 8
The following is a GGA-PBEsol calculation of a relaxed HfZrGe2Os crystal, from Alexandria via LeMat-Bulk.

Results
Its calculated volume is 109.7 Å³/cell. Its crystal system is tetragonal. The total magnetic moment comes out at 0.0 μB/cell. The calculation puts the formation energy at 0.54 eV per atom. As for the symmetry: P4/mmm.

Cell lengths 4.654, 4.654, 5.065 Å; angles 90.00, 90.00, 90.00 degrees
Atoms (fractional coordinates):
Ge: 0.000 0.500 0.000
Ge: 0.500 0.000 0.000
Zr: 0.000 0.000 0.500
Os: 0.000 0.000 0.000
Hf: 0.500 0.500 0.500


# 9
The following is a GGA-PBEsol calculation of a relaxed Sb3Rh crystal, from Alexandria via LeMat-Bulk.

Results
Its calculated volume is 394.7 Å³/cell. Its crystal system is cubic. The total magnetic moment comes out at 0.0 μB/cell. The calculation puts the uncorrected formation energy at -1.66 eV per formula unit. As for the symmetry: Im-3. The calculation puts the relative energy among the computed polymorphs at 0.0000 eV/atom.

Cell lengths 8.004, 8.004, 8.004 Å; angles 109.47, 109.47, 109.47 degrees
Atoms (fractional coordinates):
Rh: 0.500 0.500 0.500
Rh: 0.000 0.500 0.000
Rh: 0.000 0.000 0.500
Rh: 0.500 0.000 0.000
Sb: 0.339 0.845 0.184
Sb: 0.155 0.495 0.339
Sb: 0.845 0.184 0.339
Sb: 0.845 0.505 0.661
Sb: 0.184 0.339 0.845
Sb: 0.505 0.661 0.845
Sb: 0.155 0.816 0.661
Sb: 0.339 0.155 0.495
Sb: 0.495 0.339 0.155
Sb: 0.661 0.845 0.505
Sb: 0.816 0.661 0.155
Sb: 0.661 0.155 0.816


# 10
The following is a GGA-PBEsol calculation of a relaxed BePtRh2 crystal, from Alexandria via LeMat-Bulk.

Results
Its calculated volume is 49.7 Å³/cell. Its crystal system is orthorhombic. The total magnetic moment comes out at 0.0 μB/cell. The calculation puts the formation energy at -0.26 eV per atom. As for the symmetry: Immm.

Cell lengths 2.722, 4.193, 5.024 Å; angles 114.66, 105.72, 90.00 degrees
Atoms (fractional coordinates):
Rh: 0.789 0.789 0.578
Rh: 0.211 0.211 0.422
Be: 0.500 0.000 0.000
Pt: 0.000 0.500 0.000


# 11
The following is a GGA-PBEsol calculation of a relaxed HfNb2B2 crystal, from Alexandria via LeMat-Bulk.

Results
Its calculated volume is 129.7 Å³/cell. Its crystal system is tetragonal. The total magnetic moment comes out at 0.0 μB/cell. The calculation puts the formation energy at -0.61 eV per atom. As for the symmetry: P4/mbm.

Cell lengths 3.306, 6.264, 6.264 Å; angles 90.00, 90.00, 90.00 degrees
Atoms (fractional coordinates):
Nb: 0.500 0.676 0.824
Nb: 0.500 0.324 0.176
Nb: 0.500 0.824 0.324
Nb: 0.500 0.176 0.676
B: 0.000 0.103 0.397
B: 0.000 0.397 0.897
B: 0.000 0.603 0.103
B: 0.000 0.897 0.603
Hf: 0.000 0.000 0.000
Hf: 0.000 0.500 0.500


# 12
The following is a GGA-PBEsol calculation of a relaxed CoTeW2 crystal, from Alexandria via LeMat-Bulk.

Results
Its calculated volume is 61.6 Å³/cell. Its crystal system is tetragonal. The total magnetic moment comes out at 0.6 μB/cell. The calculation puts the uncorrected formation energy at 2.76 eV per formula unit. As for the symmetry: P4/mmm.

Cell lengths 3.009, 4.526, 4.526 Å; angles 90.00, 90.00, 90.00 degrees
Last column: magnetic moment on the atom in μB.
Atoms (fractional coordinates):
Co: 0.500 0.500 0.500  0.72
Te: 0.500 0.000 0.000  0.00
W: 0.000 0.500 0.000  -0.03
W: 0.000 0.000 0.500  -0.03